[1]
Material: CrHgIrRh2
Method: DFT, PBEsol
State: relaxed

Values from the calculation:
E in eV per atom: -5.89
DOS at the Fermi energy in states/eV per atom: 0.83

a = 4.644 Å, b = 4.644 Å, c = 5.064 Å
α = 90.00°, β = 90.00°, γ = 90.00°
Sites, in units of the cell vectors:
1 Cr 0.000 0.000 0.000
2 Hg 0.500 0.500 0.000
3 Ir 0.500 0.500 0.500
4 Rh 0.000 0.500 0.500
5 Rh 0.500 0.000 0.500

---

[2]
Material: Cr4CuBr
Method: DFT, PBEsol
State: relaxed

Values from the calculation:
E in eV per atom: -6.99
DOS at the Fermi energy in states/eV per atom: 1.01

a = 4.785 Å, b = 4.785 Å, c = 4.785 Å
α = 60.00°, β = 60.00°, γ = 60.00°
Sites, in units of the cell vectors:
1 Cr 0.378 0.378 0.378
2 Cr 0.378 0.378 0.866
3 Cr 0.378 0.866 0.378
4 Cr 0.866 0.378 0.378
5 Cu 0.750 0.750 0.750
6 Br 0.000 0.000 0.000

---

[3]
Material: Li2AlZn2
Method: DFT, PBEsol
State: relaxed

Values from the calculation:
Offset from the most stable computed form in meV/atom: 173
DOS at the Fermi energy in states/eV per atom: 0.38

a = 6.988 Å, b = 6.988 Å, c = 6.988 Å
α = 151.16°, β = 151.16°, γ = 41.24°
Sites, in units of the cell vectors:
1 Li 0.250 0.750 0.500
2 Li 0.750 0.250 0.500
3 Al 0.000 0.000 0.000
4 Zn 0.402 0.402 0.000
5 Zn 0.598 0.598 0.000

---

[4]
Material: LiNbAl2Re
Method: DFT, PBEsol
State: relaxed

Values from the calculation:
E in eV per atom: -5.78
DOS at the Fermi energy in states/eV per atom: 0.69

a = 4.584 Å, b = 4.584 Å, c = 4.375 Å
α = 90.00°, β = 90.00°, γ = 90.00°
Sites, in units of the cell vectors:
1 Li 0.000 0.000 0.000
2 Nb 0.500 0.500 0.000
3 Al 0.000 0.500 0.500
4 Al 0.500 0.000 0.500
5 Re 0.000 0.000 0.500

---

[5]
Material: Y2SbW
Method: DFT, PBEsol
State: relaxed

Values from the calculation:
E in eV per atom: -7.81
DOS at the Fermi energy in states/eV per atom: 1.43

a = 4.946 Å, b = 4.946 Å, c = 4.946 Å
α = 60.00°, β = 60.00°, γ = 60.00°
Sites, in units of the cell vectors:
1 Y 0.000 0.000 0.000
2 Y 0.250 0.250 0.250
3 Sb 0.750 0.750 0.750
4 W 0.500 0.500 0.500

---

[6]
Material: Sm2Sn2O7
Method: DFT, PBEsol
State: relaxed

Values from the calculation:
E in eV per atom: -7.65
DOS at the Fermi energy in states/eV per atom: 0.00

a = 7.430 Å, b = 7.430 Å, c = 7.430 Å
α = 60.00°, β = 60.00°, γ = 60.00°
Sites, in units of the cell vectors:
1 Sm 0.000 0.000 0.000
2 Sm 0.000 0.000 0.500
3 Sm 0.000 0.500 0.000
4 Sm 0.500 0.000 0.000
5 Sn 0.000 0.500 0.500
6 Sn 0.500 0.000 0.500
7 Sn 0.500 0.500 0.000
8 Sn 0.500 0.500 0.500
9 O 0.125 0.125 0.125
10 O 0.163 0.163 0.587
11 O 0.163 0.587 0.163
12 O 0.163 0.587 0.587
13 O 0.413 0.413 0.837
14 O 0.413 0.837 0.413
15 O 0.413 0.837 0.837
16 O 0.587 0.163 0.163
17 O 0.587 0.163 0.587
18 O 0.587 0.587 0.163
19 O 0.837 0.413 0.413
20 O 0.837 0.413 0.837
21 O 0.837 0.837 0.413
22 O 0.875 0.875 0.875